# CaCe5In6 | the Alexandria database | PBE-GGA | optimized geometry
data_CaCe5In6
_chemical_formula_sum 'Ca1 Ce5 In6'
_cell_length_a 4.864
_cell_length_b 9.003
_cell_length_c 9.003
_cell_angle_alpha 108.51
_cell_angle_beta 105.67
_cell_angle_gamma 105.67
_space_group_name_H-M_alt 'P 1'
_space_group_IT_number 1
loop_
_space_group_symop_operation_xyz
'x,y,z'
loop_
_atom_site_label
_atom_site_type_symbol
_atom_site_fract_x
_atom_site_fract_y
_atom_site_fract_z
_atom_site_occupancy
Ca1 Ca 0.000 0.000 0.000 1
Ce1 Ce 0.500 0.177 0.823 1
Ce2 Ce 0.000 0.336 0.664 1
Ce3 Ce 0.500 0.500 0.500 1
Ce4 Ce 0.000 0.664 0.336 1
Ce5 Ce 0.500 0.823 0.177 1
In1 In 0.246 0.082 0.411 1
In2 In 0.754 0.589 0.918 1
In3 In 0.745 0.245 0.245 1
In4 In 0.255 0.755 0.755 1
In5 In 0.246 0.411 0.082 1
In6 In 0.754 0.918 0.589 1
# Crystal system: orthorhombic
# ΔH_f (0 K), eV per atom: -0.36

=====

# LiPm4Ga2Ag | the Alexandria database | PBE-GGA | optimized geometry
data_LiPm4Ga2Ag
_chemical_formula_sum 'Li1 Pm4 Ga2 Ag1'
_cell_length_a 5.233
_cell_length_b 5.233
_cell_length_c 9.098
_cell_angle_alpha 73.29
_cell_angle_beta 73.29
_cell_angle_gamma 60.00
_space_group_name_H-M_alt 'P 1'
_space_group_IT_number 1
loop_
_space_group_symop_operation_xyz
'x,y,z'
loop_
_atom_site_label
_atom_site_type_symbol
_atom_site_fract_x
_atom_site_fract_y
_atom_site_fract_z
_atom_site_occupancy
Li1 Li 0.000 0.000 0.000 1
Pm1 Pm 0.377 0.377 0.869 1
Pm2 Pm 0.873 0.873 0.380 1
Pm3 Pm 0.127 0.127 0.620 1
Pm4 Pm 0.623 0.623 0.131 1
Ga1 Ga 0.745 0.745 0.766 1
Ga2 Ga 0.255 0.255 0.234 1
Ag1 Ag 0.500 0.500 0.500 1
# Crystal system: trigonal
# ΔH_f (0 K), eV per atom: -0.37

=====

# YWSe | the Alexandria database | PBE-GGA | optimized geometry
data_YWSe
_chemical_formula_sum 'Y1 W1 Se1'
_cell_length_a 3.567
_cell_length_b 3.567
_cell_length_c 5.873
_cell_angle_alpha 90.00
_cell_angle_beta 90.00
_cell_angle_gamma 120.00
_space_group_name_H-M_alt 'P 1'
_space_group_IT_number 1
loop_
_space_group_symop_operation_xyz
'x,y,z'
loop_
_atom_site_label
_atom_site_type_symbol
_atom_site_fract_x
_atom_site_fract_y
_atom_site_fract_z
_atom_site_occupancy
Se1 Se 0.000 0.000 0.033 1
W1 W 0.333 0.667 0.288 1
Y1 Y 0.667 0.333 0.679 1
# Crystal system: trigonal
# Formation energy without anion corrections, eV per atom: -0.0075

=====

# RbZnPb2 | the Alexandria database | PBE-GGA | optimized geometry
data_RbZnPb2
_chemical_formula_sum 'Rb1 Zn1 Pb2'
_cell_length_a 4.752
_cell_length_b 4.752
_cell_length_c 7.838
_cell_angle_alpha 72.36
_cell_angle_beta 72.36
_cell_angle_gamma 60.00
_space_group_name_H-M_alt 'P 1'
_space_group_IT_number 1
loop_
_space_group_symop_operation_xyz
'x,y,z'
loop_
_atom_site_label
_atom_site_type_symbol
_atom_site_fract_x
_atom_site_fract_y
_atom_site_fract_z
_atom_site_occupancy
Pb1 Pb 0.287 0.287 0.140 1
Pb2 Pb 0.713 0.713 0.860 1
Zn1 Zn 0.000 0.000 0.000 1
Rb1 Rb 0.500 0.500 0.500 1
# Crystal system: trigonal
# ΔH_f (0 K), eV per atom: -0.02

=====

# Li3AlF6 | the Alexandria database | PBE-GGA | optimized geometry
data_Li3AlF6
_chemical_formula_sum 'Li12 Al4 F24'
_cell_length_a 4.949
_cell_length_b 8.334
_cell_length_c 9.653
_cell_angle_alpha 90.00
_cell_angle_beta 90.00
_cell_angle_gamma 90.00
_space_group_name_H-M_alt 'P 1'
_space_group_IT_number 1
loop_
_space_group_symop_operation_xyz
'x,y,z'
loop_
_atom_site_label
_atom_site_type_symbol
_atom_site_fract_x
_atom_site_fract_y
_atom_site_fract_z
_atom_site_occupancy
Li1 Li 0.491 0.352 0.375 1
Li2 Li 0.991 0.648 0.625 1
Li3 Li 0.491 0.148 0.875 1
Li4 Li 0.991 0.852 0.125 1
Li5 Li 0.506 0.452 0.105 1
Li6 Li 0.006 0.548 0.895 1
Li7 Li 0.506 0.048 0.605 1
Li8 Li 0.006 0.952 0.395 1
Li9 Li 0.998 0.547 0.354 1
Li10 Li 0.498 0.453 0.646 1
Li11 Li 0.998 0.953 0.854 1
Li12 Li 0.498 0.047 0.146 1
Al1 Al 0.000 0.240 0.128 1
Al2 Al 0.500 0.760 0.872 1
Al3 Al 0.000 0.260 0.628 1
Al4 Al 0.500 0.740 0.372 1
F1 F 0.863 0.066 0.223 1
F2 F 0.363 0.934 0.777 1
F3 F 0.863 0.434 0.723 1
F4 F 0.363 0.566 0.277 1
F5 F 0.691 0.242 0.025 1
F6 F 0.191 0.758 0.975 1
F7 F 0.691 0.258 0.525 1
F8 F 0.191 0.742 0.475 1
F9 F 0.302 0.233 0.236 1
F10 F 0.802 0.767 0.764 1
F11 F 0.302 0.267 0.736 1
F12 F 0.802 0.733 0.264 1
F13 F 0.147 0.403 0.030 1
F14 F 0.647 0.597 0.970 1
F15 F 0.147 0.097 0.530 1
F16 F 0.647 0.903 0.470 1
F17 F 0.826 0.381 0.245 1
F18 F 0.326 0.619 0.755 1
F19 F 0.826 0.119 0.745 1
F20 F 0.326 0.881 0.255 1
F21 F 0.169 0.092 0.013 1
F22 F 0.669 0.908 0.987 1
F23 F 0.169 0.408 0.513 1
F24 F 0.669 0.592 0.487 1
# Crystal system: orthorhombic
# Formation energy without anion corrections, eV per atom: -3.2216

=====

# CaAcRh4 | the Alexandria database | PBE-GGA | optimized geometry
data_CaAcRh4
_chemical_formula_sum 'Ca1 Ac1 Rh4'
_cell_length_a 5.465
_cell_length_b 5.465
_cell_length_c 5.465
_cell_angle_alpha 60.00
_cell_angle_beta 60.00
_cell_angle_gamma 60.00
_space_group_name_H-M_alt 'P 1'
_space_group_IT_number 1
loop_
_space_group_symop_operation_xyz
'x,y,z'
loop_
_atom_site_label
_atom_site_type_symbol
_atom_site_fract_x
_atom_site_fract_y
_atom_site_fract_z
_atom_site_occupancy
Ac1 Ac 0.000 0.000 0.000 1
Rh1 Rh 0.625 0.625 0.126 1
Rh2 Rh 0.625 0.126 0.625 1
Rh3 Rh 0.625 0.625 0.625 1
Rh4 Rh 0.126 0.625 0.625 1
Ca1 Ca 0.250 0.250 0.250 1
# Crystal system: cubic
# ΔH_f (0 K), eV per atom: -0.51

=====

# Tb3Tm2Sc4 | the Alexandria database | PBE-GGA | optimized geometry
data_Tb3Tm2Sc4
_chemical_formula_sum 'Tb6 Tm4 Sc8'
_cell_length_a 5.753
_cell_length_b 10.767
_cell_length_c 10.767
_cell_angle_alpha 62.14
_cell_angle_beta 63.88
_cell_angle_gamma 63.88
_space_group_name_H-M_alt 'P 1'
_space_group_IT_number 1
loop_
_space_group_symop_operation_xyz
'x,y,z'
loop_
_atom_site_label
_atom_site_type_symbol
_atom_site_fract_x
_atom_site_fract_y
_atom_site_fract_z
_atom_site_occupancy
Tb1 Tb 0.781 0.057 0.267 1
Tb2 Tb 0.719 0.733 0.943 1
Tb3 Tb 0.219 0.943 0.733 1
Tb4 Tb 0.281 0.267 0.057 1
Tb5 Tb 0.250 0.615 0.385 1
Tb6 Tb 0.750 0.385 0.615 1
Tm1 Tm 0.443 0.246 0.506 1
Tm2 Tm 0.057 0.494 0.754 1
Tm3 Tm 0.557 0.754 0.494 1
Tm4 Tm 0.943 0.506 0.246 1
Sc1 Sc 0.434 0.917 0.177 1
Sc2 Sc 0.066 0.823 0.083 1
Sc3 Sc 0.566 0.083 0.823 1
Sc4 Sc 0.934 0.177 0.917 1
Sc5 Sc 0.107 0.136 0.412 1
Sc6 Sc 0.393 0.588 0.864 1
Sc7 Sc 0.893 0.864 0.588 1
Sc8 Sc 0.607 0.412 0.136 1
# Crystal system: monoclinic
# ΔH_f (0 K), eV per atom: 0.12

=====

The records above give, respectively, size of the total moment values of 5.60; 0.00; 0.00; 0.00; 0.00; 0.00; 0.00 μB per formula unit.